Material: Rb2PmTlCl6
Method: DFT, PBE
State: relaxed

abc: 7.790 8.242 11.178
angles: 90.00 89.17 90.00
Fractional coordinates of all 20 atoms:
Cl  0.671  0.275  0.568
Cl  0.119  0.452  0.772
Cl  0.282  0.680  0.054
Cl  0.718  0.320  0.946
Cl  0.218  0.180  0.446
Cl  0.829  0.775  0.932
Cl  0.381  0.952  0.728
Cl  0.329  0.725  0.432
Cl  0.171  0.225  0.068
Cl  0.782  0.820  0.554
Cl  0.619  0.048  0.272
Cl  0.881  0.548  0.228
Rb  0.526  0.571  0.753
Rb  0.026  0.929  0.253
Rb  0.474  0.429  0.247
Rb  0.974  0.071  0.747
Pm  0.000  0.500  0.000
Pm  0.500  0.000  0.500
Tl  0.000  0.500  0.500
Tl  0.500  0.000  0.000

* density: 3392 kg/m³
* Fermi-level density of states: 0.00 states/eV per cell
* formation energy without anion corrections: -1.94 eV/atom

Material: Ca3Pu3MoN8
Method: DFT, PBE
State: relaxed

abc: 6.748 6.748 6.859
angles: 119.47 90.00 120.00
Each line ends with the local moment (μB).
Fractional coordinates of all 15 atoms:
Ca  0.000  0.500  0.000  0.01
Ca  0.000  0.000  0.000  0.01
Ca  0.500  0.500  0.000  0.01
Pu  0.500  0.000  0.500  4.20
Pu  0.000  0.500  0.500  4.20
Pu  0.500  0.500  0.500  4.20
N  0.781  0.561  0.303  -0.13
N  0.219  0.439  0.697  -0.13
N  0.741  0.482  0.723  -0.17
N  0.219  0.978  0.697  -0.13
N  0.758  0.978  0.697  -0.13
N  0.781  0.022  0.303  -0.13
N  0.242  0.022  0.303  -0.13
N  0.259  0.518  0.277  -0.17
Mo  0.000  0.000  0.500  0.39

* density: 7907 kg/m³
* Fermi-level density of states: 19.84 states/eV per cell
* formation energy without anion corrections: -1.00 eV/atom

| no. | DFT total energy (eV per atom) |
| --- | --- |
| 1 | -3.955 |
| 2 | -9.432 |